[1]
Compound: Tl6TeSe3
Source: the Alexandria database
Functional: PBE
Structure: optimized geometry

Results
**Total energy**: -3.0738 eV/atom
**Theoretical density**: 7.6 g cm⁻³
**Formation energy without anion corrections**: -0.2945 eV per atom
**SG**: P2_1/m
**DOS(E_F)**: 4.83 states/eV per cell
**Crystal system**: monoclinic

a = 11.785 Å, b = 4.591 Å, c = 13.104 Å
α = 90.00°, β = 102.95°, γ = 90.00°
Element x y z (fractional)
Tl 0.007 0.250 0.377
Tl 0.097 0.250 0.939
Tl 0.238 0.750 0.266
Tl 0.291 0.750 0.748
Tl 0.368 0.250 0.537
Tl 0.420 0.750 0.097
Tl 0.580 0.250 0.903
Tl 0.632 0.750 0.463
Tl 0.709 0.250 0.252
Tl 0.762 0.250 0.734
Tl 0.903 0.750 0.061
Tl 0.993 0.750 0.623
Te 0.446 0.250 0.310
Te 0.554 0.750 0.690
Se 0.043 0.250 0.142
Se 0.162 0.750 0.469
Se 0.324 0.250 0.916
Se 0.676 0.750 0.084
Se 0.838 0.250 0.531
Se 0.957 0.750 0.858

=====

[2]
Compound: KCd2As
Source: the Alexandria database
Functional: PBE
Structure: optimized geometry

Results
**Total energy**: -1.8398 eV/atom
**Theoretical density**: 5.5 g cm⁻³
**SG**: P4/mmm
**DOS(E_F)**: 1.49 states/eV per cell
**Crystal system**: tetragonal
**ΔH_f (0 K)**: 0.2 eV/f.u.

a = 4.616 Å, b = 4.616 Å, c = 4.821 Å
α = 90.00°, β = 90.00°, γ = 90.00°
Element x y z (fractional)
K 0.000 0.000 0.000
Cd 0.000 0.500 0.500
Cd 0.500 0.000 0.500
As 0.500 0.500 0.000

=====

[3]
Compound: PrZn2Cu
Source: the Alexandria database
Functional: PBE
Structure: optimized geometry

Results
**Total energy**: -3.0233 eV/atom
**Theoretical density**: 7.3 g cm⁻³
**SG**: Fm-3m
**DOS(E_F)**: 1.14 states/eV per cell
**Crystal system**: cubic
**ΔH_f (0 K)**: -0.7 eV/f.u.

a = 4.765 Å, b = 4.765 Å, c = 4.765 Å
α = 60.00°, β = 60.00°, γ = 60.00°
Element x y z (fractional)
Pr 0.000 0.000 0.000
Zn 0.250 0.250 0.250
Zn 0.750 0.750 0.750
Cu 0.500 0.500 0.500

=====

[4]
Compound: ScTi2Pt2
Source: the Alexandria database
Functional: PBE
Structure: optimized geometry

Results
**Total energy**: -7.6190 eV/atom
**Theoretical density**: 9.2 g cm⁻³
**SG**: I4/mmm
**DOS(E_F)**: 4.81 states/eV per cell
**Crystal system**: tetragonal
**Distance to the lowest polymorph of the same formula**: 15 meV/atom
**ΔH_f (0 K)**: -3.9 eV/f.u.

a = 6.074 Å, b = 6.074 Å, c = 6.074 Å
α = 138.79°, β = 138.79°, γ = 59.70°
Element x y z (fractional)
Sc 0.000 0.000 0.000
Ti 0.250 0.750 0.500
Ti 0.750 0.250 0.500
Pt 0.378 0.378 0.000
Pt 0.622 0.622 0.000

=====

[5]
Compound: CuIrBr
Source: the Alexandria database
Functional: PBE
Structure: optimized geometry

Results
**Total energy**: -4.2126 eV/atom
**Theoretical density**: 8.4 g cm⁻³
**Formation energy without anion corrections**: 0.6641 eV per atom
**SG**: Imm2
**DOS(E_F)**: 3.33 states/eV per cell
**Crystal system**: orthorhombic
**Distance to the lowest polymorph of the same formula**: 0 meV/atom

a = 6.411 Å, b = 6.411 Å, c = 6.411 Å
α = 155.61°, β = 142.30°, γ = 45.41°
Element x y z (fractional)
Cu 0.000 0.000 0.000
Ir 0.450 0.450 0.000
Br 0.248 0.248 0.000

=====

[6]
Compound: TaCuHg2
Source: the Alexandria database
Functional: PBE
Structure: optimized geometry

Results
**Total energy**: -3.7589 eV/atom
**Theoretical density**: 14.4 g cm⁻³
**SG**: Pm
**DOS(E_F)**: 1.82 states/eV per cell
**Crystal system**: monoclinic
**ΔH_f (0 K)**: 1.5 eV/f.u.

a = 2.914 Å, b = 4.264 Å, c = 6.162 Å
α = 90.00°, β = 103.23°, γ = 90.00°
Element x y z (fractional)
Ta 0.000 0.000 0.000
Cu 0.586 0.500 0.181
Hg 0.368 0.500 0.732
Hg 0.728 0.000 0.453

=====

[7]
Compound: Pu2Ga7Pt12
Source: the Alexandria database
Functional: PBE
Structure: optimized geometry

Results
**Total energy**: -6.4872 eV/atom
**Theoretical density**: 15.3 g cm⁻³
**SG**: P-6
**DOS(E_F)**: 34.20 states/eV per cell
**Crystal system**: hexagonal
**ΔH_f (0 K)**: -13.9 eV/f.u.

a = 10.091 Å, b = 10.091 Å, c = 4.087 Å
α = 90.00°, β = 90.00°, γ = 120.00°
Element x y z (fractional)
Pu 0.000 0.000 0.000
Pu 0.333 0.667 0.500
Ga 0.045 0.462 0.000
Ga 0.265 0.245 0.500
Ga 0.417 0.955 0.000
Ga 0.538 0.583 0.000
Ga 0.667 0.333 0.000
Ga 0.755 0.020 0.500
Ga 0.980 0.735 0.500
Pt 0.027 0.264 0.500
Pt 0.144 0.744 0.000
Pt 0.237 0.973 0.500
Pt 0.256 0.400 0.000
Pt 0.383 0.191 0.000
Pt 0.557 0.428 0.500
Pt 0.572 0.130 0.500
Pt 0.600 0.856 0.000
Pt 0.736 0.763 0.500
Pt 0.808 0.617 0.000
Pt 0.809 0.192 0.000
Pt 0.870 0.443 0.500

=====

[8]
Compound: AcNdNi10
Source: the Alexandria database
Functional: PBE
Structure: optimized geometry

Results
**Total energy**: -5.7985 eV/atom
**Theoretical density**: 9.1 g cm⁻³
**SG**: Pmmm
**DOS(E_F)**: 13.74 states/eV per cell
**Crystal system**: orthorhombic
**ΔH_f (0 K)**: -2.9 eV/f.u.

a = 3.975 Å, b = 5.026 Å, c = 8.718 Å
α = 90.00°, β = 90.00°, γ = 90.00°
Element x y z (fractional)
Ac 0.000 0.000 0.000
Nd 0.000 0.500 0.500
Ni 0.000 0.000 0.339
Ni 0.000 0.000 0.661
Ni 0.000 0.500 0.173
Ni 0.000 0.500 0.827
Ni 0.500 0.000 0.500
Ni 0.500 0.252 0.256
Ni 0.500 0.252 0.744
Ni 0.500 0.500 0.000
Ni 0.500 0.748 0.256
Ni 0.500 0.748 0.744

=====

Question: The lowest theoretical density belongs to which entry?
Answer: KCd2As